The following is a DFT calculation (meta-GGA SCAN) of a PBEsol-optimized structure of KRb2As2.

abc: 8.3637 8.3637 5.2407
angles: 90.00 90.00 90.00
Sites, in units of the cell vectors:
K  0.0000  0.0000  0.0000
K  0.5000  0.5000  0.0000
Rb  0.1702  0.3298  0.5000
Rb  0.3298  0.8298  0.5000
Rb  0.6702  0.1702  0.5000
Rb  0.8298  0.6702  0.5000
As  0.1023  0.6023  0.0000
As  0.3977  0.1023  0.0000
As  0.6023  0.8977  0.0000
As  0.8977  0.3977  0.0000

Results
Its formation energy is -0.42 eV per atom. The calculated volume is 183.29 Å³/f.u. Its density of states at the Fermi level is 4.113 states/eV per cell.

=====

The following is a DFT calculation (meta-GGA SCAN) of a PBEsol-optimized structure of K2RbAs2.

abc: 8.5638 8.5638 4.7357
angles: 90.00 90.00 90.00
Sites, in units of the cell vectors:
K  0.1713  0.3287  0.0000
K  0.3287  0.8287  0.0000
K  0.6713  0.1713  0.0000
K  0.8287  0.6713  0.0000
Rb  0.0000  0.0000  0.5000
Rb  0.5000  0.5000  0.5000
As  0.0998  0.5998  0.5000
As  0.4002  0.0998  0.5000
As  0.5998  0.9002  0.5000
As  0.9002  0.4002  0.5000

Results
Its formation energy is -0.42 eV per atom. The calculated volume is 173.66 Å³/f.u. Its density of states at the Fermi level is 5.944 states/eV per cell.